Record 1
Below is LiCaY2 at its PBEsol-relaxed geometry, with properties calculated at the meta-GGA SCAN level.

Computed properties:
- Energy of formation: 0.256 eV per atom
- Total magnetic moment: 0.000 μB per formula unit

a b c (Å): 7.8002 7.8002 7.8002
angles (deg): 90.00 90.00 90.00
Last column: nearest neighbours and their distance in Å.
Sites, in units of the cell vectors:
Li 0.0000 0.0000 0.0000  8 Y 3.38
Li 0.0000 0.5000 0.5000  8 Y 3.38
Li 0.5000 0.0000 0.5000  8 Y 3.38
Li 0.5000 0.5000 0.0000  8 Y 3.38
Ca 0.0000 0.0000 0.5000  8 Y 3.38
Ca 0.0000 0.5000 0.0000  8 Y 3.38
Ca 0.5000 0.0000 0.0000  8 Y 3.38
Ca 0.5000 0.5000 0.5000  8 Y 3.38
Y 0.2500 0.2500 0.2500  4 Li 3.38, 4 Ca 3.38
Y 0.2500 0.2500 0.7500  4 Li 3.38, 4 Ca 3.38
Y 0.2500 0.7500 0.2500  4 Li 3.38, 4 Ca 3.38
Y 0.2500 0.7500 0.7500  4 Li 3.38, 4 Ca 3.38
Y 0.7500 0.2500 0.2500  4 Li 3.38, 4 Ca 3.38
Y 0.7500 0.2500 0.7500  4 Li 3.38, 4 Ca 3.38
Y 0.7500 0.7500 0.2500  4 Li 3.38, 4 Ca 3.38
Y 0.7500 0.7500 0.7500  4 Li 3.38, 4 Ca 3.38

Record 2
Below is LiCaZn2 at its PBEsol-relaxed geometry, with properties calculated at the meta-GGA SCAN level.

Computed properties:
- Energy of formation: -0.186 eV per atom
- Total magnetic moment: 0.000 μB per formula unit

a b c (Å): 4.6066 4.7722 6.6761
angles (deg): 90.00 90.00 90.00
Last column: nearest neighbours and their distance in Å.
Sites, in units of the cell vectors:
Li 0.0000 0.0000 0.0000  4 Zn 2.82-2.94, 4 Ca 2.87-2.88
Li 0.5000 0.5000 0.5000  4 Zn 2.82-2.94, 4 Ca 2.87-2.88
Ca 0.0000 0.5000 0.2398  4 Zn 2.87-2.89, 4 Li 2.87-2.88
Ca 0.5000 0.0000 0.7398  4 Zn 2.87-2.89, 4 Li 2.87-2.88
Zn 0.0000 0.0000 0.4789  4 Zn 2.79-2.97, 4 Ca 2.87-2.89
Zn 0.0000 0.5000 0.7433  4 Zn 2.79-2.97, 4 Li 2.82-2.94
Zn 0.5000 0.0000 0.2433  4 Zn 2.79-2.97, 4 Li 2.82-2.94
Zn 0.5000 0.5000 0.9789  4 Zn 2.79-2.97, 4 Ca 2.87-2.89

Record 3
Below is LiCaZn at its PBEsol-relaxed geometry, with properties calculated at the meta-GGA SCAN level.

Computed properties:
- Energy of formation: -0.121 eV per atom
- Total magnetic moment: 0.000 μB per formula unit

a b c (Å): 4.6506 4.6506 3.7137
angles (deg): 90.00 90.00 120.00
Last column: nearest neighbours and their distance in Å.
Sites, in units of the cell vectors:
Li 0.0000 0.0000 0.0000  3 Zn 2.69
Ca 0.6667 0.3333 0.5000  6 Li 3.26, 6 Zn 3.26
Zn 0.3333 0.6667 0.0000  3 Li 2.69

Record 4
Below is LiCaZn2 at its PBEsol-relaxed geometry, with properties calculated at the meta-GGA SCAN level.

Computed properties:
- Energy of formation: -0.224 eV per atom
- Total magnetic moment: 0.000 μB per formula unit

a b c (Å): 4.3912 4.3912 14.9839
angles (deg): 90.00 90.00 120.00
Last column: nearest neighbours and their distance in Å.
Sites, in units of the cell vectors:
Li 0.0000 0.0000 0.0000  6 Zn 2.57
Li 0.3333 0.6667 0.6667  6 Zn 2.57
Li 0.6667 0.3333 0.3333  6 Zn 2.57
Ca 0.0000 0.0000 0.5000  8 Zn 2.94-3.26
Ca 0.3333 0.6667 0.1667  8 Zn 2.94-3.26
Ca 0.6667 0.3333 0.8333  8 Zn 2.94-3.26
Zn 0.0000 0.0000 0.3036  3 Li 2.57, 3 Zn 2.69
Zn 0.0000 0.0000 0.6964  3 Li 2.57, 3 Zn 2.69
Zn 0.3333 0.6667 0.3630  3 Li 2.57, 3 Zn 2.69
Zn 0.3333 0.6667 0.9703  3 Li 2.57, 3 Zn 2.69
Zn 0.6667 0.3333 0.0297  3 Li 2.57, 3 Zn 2.69
Zn 0.6667 0.3333 0.6370  3 Li 2.57, 3 Zn 2.69

Record 5
Below is Li3CaZn at its PBEsol-relaxed geometry, with properties calculated at the meta-GGA SCAN level.

Computed properties:
- Energy of formation: 0.971 eV per atom
- Total magnetic moment: 0.000 μB per formula unit

a b c (Å): 5.5007 5.5007 5.5007
angles (deg): 90.00 90.00 90.00
Last column: nearest neighbours and their distance in Å.
Sites, in units of the cell vectors:
Li 0.0000 0.0000 0.5000  2 Ca 2.75
Li 0.0000 0.5000 0.0000  2 Ca 2.75
Li 0.5000 0.0000 0.0000  2 Ca 2.75
Ca 0.0000 0.0000 0.0000  6 Li 2.75
Zn 0.5000 0.5000 0.5000  12 Li 3.89

Record 6
Below is LiCaZn2 at its PBEsol-relaxed geometry, with properties calculated at the meta-GGA SCAN level.

Computed properties:
- Energy of formation: -0.169 eV per atom
- Total magnetic moment: 0.007 μB per formula unit

a b c (Å): 3.5566 4.2535 5.8916
angles (deg): 90.00 107.69 90.00
Last column: nearest neighbours and their distance in Å.
Sites, in units of the cell vectors:
Li 0.0000 0.0000 0.0000  6 Zn 2.77-2.90
Ca 0.3054 0.5000 0.6086  7 Zn 3.05-3.12
Zn 0.5742 0.5000 0.1514  2 Zn 2.48
Zn 0.6901 0.0000 0.3788  2 Zn 2.48, 2 Li 2.77

Record 7
Below is LiCaZn at its PBEsol-relaxed geometry, with properties calculated at the meta-GGA SCAN level.

Computed properties:
- Energy of formation: 0.009 eV per atom
- Total magnetic moment: 0.000 μB per formula unit

a b c (Å): 6.8329 6.8329 6.8329
angles (deg): 90.00 90.00 90.00
Last column: nearest neighbours and their distance in Å.
Sites, in units of the cell vectors:
Li 0.0000 0.0000 0.0000  4 Zn 2.96
Li 0.0000 0.5000 0.5000  4 Zn 2.96
Li 0.5000 0.0000 0.5000  4 Zn 2.96
Li 0.5000 0.5000 0.0000  4 Zn 2.96
Ca 0.0000 0.0000 0.5000  4 Zn 2.96
Ca 0.0000 0.5000 0.0000  4 Zn 2.96
Ca 0.5000 0.0000 0.0000  4 Zn 2.96
Ca 0.5000 0.5000 0.5000  4 Zn 2.96
Zn 0.2500 0.2500 0.7500  4 Li 2.96, 4 Ca 2.96
Zn 0.2500 0.7500 0.2500  4 Li 2.96, 4 Ca 2.96
Zn 0.7500 0.2500 0.2500  4 Li 2.96, 4 Ca 2.96
Zn 0.7500 0.7500 0.7500  4 Ca 2.96, 4 Li 2.96

Record 8
Below is Li3CaZn at its PBEsol-relaxed geometry, with properties calculated at the meta-GGA SCAN level.

Computed properties:
- Energy of formation: 0.024 eV per atom
- Total magnetic moment: 0.000 μB per formula unit

a b c (Å): 4.8858 4.8858 4.8858
angles (deg): 90.00 90.00 90.00
Last column: nearest neighbours and their distance in Å.
Sites, in units of the cell vectors:
Li 0.0000 0.0000 0.5000  2 Zn 2.44
Li 0.0000 0.5000 0.0000  2 Zn 2.44
Li 0.5000 0.0000 0.0000  2 Zn 2.44
Ca 0.5000 0.5000 0.5000  12 Li 3.45
Zn 0.0000 0.0000 0.0000  6 Li 2.44

- The highest total magnetic moment belongs to which entry?
  number 6